1.
PBE Nd2YSe2O2, optimized geometry; formation energy (no corrections) = -2.355 eV per atom
1.0
4.3304 0.0000 0.0000
0.0000 4.3304 0.0000
0.0000 0.0000 15.6415
Nd Y Se O
4 2 4 4
Direct
0.0000 0.0000 0.1273 Nd
0.0000 0.0000 0.8727 Nd
0.5000 0.5000 0.3727 Nd
0.5000 0.5000 0.6273 Nd
0.0000 0.0000 0.5000 Y
0.5000 0.5000 0.0000 Y
0.0000 0.0000 0.3193 Se
0.0000 0.0000 0.6807 Se
0.5000 0.5000 0.1807 Se
0.5000 0.5000 0.8193 Se
0.0000 0.5000 0.0000 O
0.0000 0.5000 0.5000 O
0.5000 0.0000 0.0000 O
0.5000 0.0000 0.5000 O

2.
PBE Ac8SiRu3Cl4, optimized geometry; formation energy (no corrections) = -0.972 eV per atom
1.0
4.3804 2.5290 7.8505
-4.3804 2.5290 7.8505
0.0000 -5.0580 7.8505
Ac Si Ru Cl
8 1 3 4
Direct
0.2185 0.7408 0.7408 Ac
0.2383 0.2383 0.2383 Ac
0.2592 0.2592 0.7815 Ac
0.2592 0.7815 0.2592 Ac
0.7408 0.2185 0.7408 Ac
0.7408 0.7408 0.2185 Ac
0.7617 0.7617 0.7617 Ac
0.7815 0.2592 0.2592 Ac
0.5000 0.5000 0.5000 Si
0.0000 0.0000 0.5000 Ru
0.0000 0.5000 0.0000 Ru
0.5000 0.0000 0.0000 Ru
0.0000 0.0000 0.0000 Cl
0.0000 0.5000 0.5000 Cl
0.5000 0.0000 0.5000 Cl
0.5000 0.5000 0.0000 Cl

3.
PBE VRhSe2Br, optimized geometry; formation energy (no corrections) = 0.466 eV per atom
1.0
4.7138 0.0000 0.0000
0.0000 4.7138 0.0000
0.0000 0.0000 5.1219
V Rh Se Br
1 1 2 1
Direct
0.0000 0.0000 0.0000 V
0.5000 0.5000 0.5000 Rh
0.0000 0.5000 0.0000 Se
0.5000 0.0000 0.0000 Se
0.0000 0.0000 0.5000 Br

4.
PBE Sr3PbN, optimized geometry; formation energy (no corrections) = -0.344 eV per atom
1.0
0.0000 7.0043 7.0043
7.0043 0.0000 7.0043
7.0043 7.0043 0.0000
Sr Pb N
12 4 4
Direct
0.0740 0.0740 0.6760 Sr
0.0740 0.6760 0.0740 Sr
0.0740 0.6760 0.6760 Sr
0.3240 0.3240 0.9260 Sr
0.3240 0.9260 0.3240 Sr
0.3240 0.9260 0.9260 Sr
0.6760 0.0740 0.0740 Sr
0.6760 0.0740 0.6760 Sr
0.6760 0.6760 0.0740 Sr
0.9260 0.3240 0.3240 Sr
0.9260 0.3240 0.9260 Sr
0.9260 0.9260 0.3240 Sr
0.0000 0.5000 0.5000 Pb
0.5000 0.0000 0.5000 Pb
0.5000 0.5000 0.0000 Pb
0.5000 0.5000 0.5000 Pb
0.0000 0.0000 0.0000 N
0.0000 0.0000 0.5000 N
0.0000 0.5000 0.0000 N
0.5000 0.0000 0.0000 N

5.
PBE PaGaPd4, optimized geometry; ΔE_f = -56.91 kJ per mole of atoms
1.0
9.6778 0.0000 0.0000
0.0000 3.4757 0.0000
-2.5047 0.0000 6.1794
Pa Ga Pd
2 2 8
Direct
0.0000 0.0000 0.0000 Pa
0.5000 0.5000 0.0000 Pa
0.0000 0.0000 0.5000 Ga
0.5000 0.5000 0.5000 Ga
0.1466 0.5000 0.3471 Pd
0.1732 0.5000 0.8180 Pd
0.3268 0.0000 0.1820 Pd
0.3534 0.0000 0.6529 Pd
0.6466 0.0000 0.3471 Pd
0.6732 0.0000 0.8180 Pd
0.8268 0.5000 0.1820 Pd
0.8534 0.5000 0.6529 Pd

6.
PBE ThCdAs2O8, optimized geometry; formation energy (no corrections) = -1.909 eV per atom
1.0
-3.6408 3.6408 3.2500
3.6408 -3.6408 3.2500
3.6408 3.6408 -3.2500
Th Cd As O
1 1 2 8
Direct
0.0000 0.0000 0.0000 Th
0.2500 0.7500 0.5000 Cd
0.5000 0.5000 0.0000 As
0.7500 0.2500 0.5000 As
0.3249 0.1464 0.8215 O
0.3249 0.5034 0.1785 O
0.3997 0.0823 0.3174 O
0.4966 0.6751 0.8215 O
0.7649 0.0823 0.6826 O
0.8536 0.6751 0.1785 O
0.9177 0.2351 0.3174 O
0.9177 0.6003 0.6826 O

7.
PBE Pr2Nd7, optimized geometry; ΔE_f = 3.58 kJ per mole of atoms
1.0
10.0972 0.0000 0.0000
-5.0486 8.7444 0.0000
0.0000 0.0000 3.6173
Pr Nd
2 7
Direct
0.3333 0.6667 0.0000 Pr
0.6667 0.3333 0.0000 Pr
0.0000 0.0000 0.5000 Nd
0.0000 0.3108 0.0000 Nd
0.0000 0.6480 0.5000 Nd
0.3108 0.0000 0.0000 Nd
0.3520 0.3520 0.5000 Nd
0.6480 0.0000 0.5000 Nd
0.6892 0.6892 0.0000 Nd

8.
PBE La7PrSm2, optimized geometry; ΔE_f = 54.07 kJ per mole of atoms
1.0
4.5414 -8.1112 0.0000
4.5414 8.1112 0.0000
0.0000 0.0000 5.7102
La Pr Sm
7 1 2
Direct
0.0000 0.0000 0.0000 La
0.1987 0.4293 0.0000 La
0.2576 0.7424 0.5000 La
0.4293 0.1987 0.0000 La
0.5707 0.8013 0.0000 La
0.7424 0.2576 0.5000 La
0.8013 0.5707 0.0000 La
0.5000 0.5000 0.5000 Pr
0.2009 0.7991 0.0000 Sm
0.7991 0.2009 0.0000 Sm

9.
PBE LiPmAg2Cl6, optimized geometry; formation energy (no corrections) = -1.426 eV per atom
1.0
6.8336 0.0000 0.0000
-3.4139 5.9212 0.0000
-3.4135 -1.9763 6.2043
Li Pm Ag Cl
1 1 2 6
Direct
0.0000 0.0000 0.0000 Li
0.0035 0.5014 0.5054 Pm
0.4026 0.7007 0.1035 Ag
0.4101 0.2043 0.6145 Ag
0.1610 0.2645 0.7801 Cl
0.1620 0.3856 0.2694 Cl
0.4932 0.1069 0.2704 Cl
0.5151 0.8955 0.7809 Cl
0.8836 0.6191 0.7800 Cl
0.8843 0.7766 0.2705 Cl

10.
PBE Cd4GaAg7, optimized geometry; ΔE_f = 0.25 kJ per mole of atoms
1.0
5.1146 0.0000 0.0000
-0.7800 5.1972 0.0000
-0.6985 -1.1568 8.7147
Cd Ga Ag
4 1 7
Direct
0.1248 0.1585 0.2820 Cd
0.3673 0.7782 0.8758 Cd
0.6327 0.2218 0.1242 Cd
0.8752 0.8415 0.7180 Cd
0.5000 0.5000 0.5000 Ga
0.0562 0.3329 0.6185 Ag
0.1216 0.2668 0.9552 Ag
0.4000 0.6864 0.2059 Ag
0.5000 0.0000 0.5000 Ag
0.6000 0.3136 0.7941 Ag
0.8784 0.7332 0.0448 Ag
0.9438 0.6671 0.3815 Ag

11.
PBE NbInPd2, optimized geometry; ΔE_f = -20.86 kJ per mole of atoms
1.0
2.9909 0.0000 0.0000
-1.4955 2.5902 0.0000
0.0000 0.0000 27.2057
Nb In Pd
3 3 6
Direct
0.0000 0.0000 0.0000 Nb
0.3333 0.6667 0.6667 Nb
0.6667 0.3333 0.3333 Nb
0.0000 0.0000 0.8333 In
0.3333 0.6667 0.5000 In
0.6667 0.3333 0.1666 In
0.0000 0.0000 0.4158 Pd
0.0000 0.0000 0.5842 Pd
0.3333 0.6667 0.0825 Pd
0.3333 0.6667 0.2508 Pd
0.6667 0.3333 0.7491 Pd
0.6667 0.3333 0.9175 Pd

12.
PBE NdDy2Tm, optimized geometry; ΔE_f = 2.18 kJ per mole of atoms
1.0
3.5640 0.0000 0.0000
-1.7820 3.0865 0.0000
0.0000 0.0000 34.8394
Nd Dy Tm
3 6 3
Direct
0.0000 0.0000 0.0000 Nd
0.3333 0.6667 0.6667 Nd
0.6667 0.3333 0.3333 Nd
0.0000 0.0000 0.2482 Dy
0.0000 0.0000 0.7518 Dy
0.3333 0.6667 0.4185 Dy
0.3333 0.6667 0.9148 Dy
0.6667 0.3333 0.0852 Dy
0.6667 0.3333 0.5815 Dy
0.0000 0.0000 0.5000 Tm
0.3333 0.6667 0.1667 Tm
0.6667 0.3333 0.8333 Tm